Arrangement w

The following is a DFT calculation (PBE) of AcTbDyEr after structural relaxation.

```
AcTbDyEr
1.0
8.2221 0.0000 0.0000
0.0000 8.2221 0.0000
0.0000 0.0000 8.2221
Ac Tb Dy Er
4 4 4 4
Cartesian
0.0000 0.0000 0.0000 Ac
0.0000 4.1110 4.1110 Ac
4.1110 0.0000 4.1110 Ac
4.1110 4.1110 0.0000 Ac
0.0000 0.0000 4.1110 Tb
0.0000 4.1110 0.0000 Tb
4.1110 0.0000 0.0000 Tb
4.1110 4.1110 4.1110 Tb
2.0555 2.0555 2.0555 Dy
2.0555 6.1665 6.1665 Dy
6.1665 2.0555 6.1665 Dy
6.1665 6.1665 2.0555 Dy
2.0555 2.0555 6.1665 Er
2.0555 6.1665 2.0555 Er
6.1665 2.0555 2.0555 Er
6.1665 6.1665 6.1665 Er
```

Computed properties:
Space group ... F-43m
Total magnetic moment ... 0.0000 μB/atom


Arrangement x

The following is a DFT calculation (PBE) of AcTbDyEr after structural relaxation.

```
AcTbDyEr
1.0
3.6747 0.0000 0.0000
-1.8373 3.1824 0.0000
0.0000 0.0000 35.3603
Ac Tb Dy Er
3 3 3 3
Cartesian
0.0000 0.0000 0.0000 Ac
0.0000 2.1216 23.5736 Ac
1.8373 1.0608 11.7868 Ac
0.0000 0.0000 8.6945 Tb
0.0000 2.1216 32.2681 Tb
1.8373 1.0608 20.4813 Tb
0.0000 0.0000 14.8923 Dy
0.0000 2.1216 3.1055 Dy
1.8373 1.0608 26.6790 Dy
0.0000 0.0000 29.4788 Er
0.0000 2.1216 17.6921 Er
1.8373 1.0608 5.9053 Er
```

Computed properties:
Space group ... R3m
Total magnetic moment ... 0.0000 μB/atom


The winner here is arrangement x, beating the second structure by 63 meV/atom.


Arrangement w

The following is a DFT calculation (PBE) of AcEuDy2 after structural relaxation.

```
AcEuDy2
1.0
3.7910 0.0000 0.0000
0.0000 3.7910 0.0000
0.0000 0.0000 10.2187
Ac Eu Dy
1 1 2
Cartesian
0.0000 0.0000 0.0000 Ac
0.0000 0.0000 5.1094 Eu
1.8955 1.8955 2.5430 Dy
1.8955 1.8955 7.6757 Dy
```

Computed properties:
Space group ... P4/mmm
Total magnetic moment ... 1.9023 μB/atom


Arrangement x

The following is a DFT calculation (PBE) of AcEuDy2 after structural relaxation.

```
AcEuDy2
1.0
5.2743 0.0000 0.0000
0.0000 5.2743 0.0000
0.0000 0.0000 5.2517
Ac Eu Dy
1 1 2
Cartesian
0.0000 0.0000 0.0000 Ac
2.6371 2.6371 0.0000 Eu
0.0000 2.6371 2.6258 Dy
2.6371 0.0000 2.6258 Dy
```

Computed properties:
Space group ... P4/mmm
Total magnetic moment ... 1.8158 μB/atom


The winner here is arrangement w, beating the second structure by 9 meV/atom.


Arrangement w

The following is a DFT calculation (PBE) of AcDy2Fe after structural relaxation.

```
AcDy2Fe
1.0
3.6938 0.0000 0.0000
-1.8469 3.1989 0.0000
0.0000 0.0000 31.9133
Ac Dy Fe
3 6 3
Cartesian
0.0000 0.0000 0.0000 Ac
0.0000 2.1326 21.2756 Ac
1.8469 1.0663 10.6378 Ac
0.0000 0.0000 3.6853 Dy
0.0000 0.0000 28.2281 Dy
0.0000 2.1326 17.5903 Dy
0.0000 2.1326 24.9608 Dy
1.8469 1.0663 6.9525 Dy
1.8469 1.0663 14.3230 Dy
0.0000 0.0000 15.9567 Fe
0.0000 2.1326 5.3189 Fe
1.8469 1.0663 26.5944 Fe
```

Computed properties:
Space group ... R-3m
Total magnetic moment ... 0.1820 μB/atom


Arrangement x

The following is a DFT calculation (PBE) of AcDy2Fe after structural relaxation.

```
AcDy2Fe
1.0
3.4572 0.0000 0.0000
0.0000 3.4572 0.0000
0.0000 0.0000 9.3376
Ac Dy Fe
1 2 1
Cartesian
0.0000 0.0000 0.0000 Ac
1.7286 1.7286 3.0852 Dy
1.7286 1.7286 6.2524 Dy
0.0000 0.0000 4.6688 Fe
```

Computed properties:
Space group ... P4/mmm
Total magnetic moment ... 0.0012 μB/atom


The winner here is arrangement x, beating the second structure by 179 meV/atom.